# PBE BaZrRh2, optimized geometry
data_BaZrRh2
_chemical_formula_sum 'Ba1 Zr1 Rh2'
_space_group_name_H-M_alt 'P 1 m 1'
_space_group_IT_number 6
_cell_length_a 3.673
_cell_length_b 4.138
_cell_length_c 6.842
_cell_angle_alpha 90.00
_cell_angle_beta 105.46
_cell_angle_gamma 90.00
loop_
_space_group_symop_operation_xyz
'x,y,z'
'x,-y,z'
loop_
_atom_site_label
_atom_site_fract_x
_atom_site_fract_y
_atom_site_fract_z
_atom_site_occupancy
Ba1 0.000 0.000 0.000 1
Zr1 0.263 0.500 0.528 1
Rh1 0.620 0.500 0.239 1
Rh2 0.752 0.000 0.507 1
# Formation enthalpy at 0 K, eV per atom: -0.229

***

# PBE CaScAgF6, optimized geometry
data_CaScAgF6
_chemical_formula_sum 'Ca2 Sc2 Ag2 F12'
_space_group_name_H-M_alt 'P 42 n m'
_space_group_IT_number 102
_cell_length_a 5.240
_cell_length_b 5.240
_cell_length_c 10.496
_cell_angle_alpha 90.00
_cell_angle_beta 90.00
_cell_angle_gamma 90.00
loop_
_space_group_symop_operation_xyz
'x,y,z'
'-y+1/2,x+1/2,z+1/2'
'-x,-y,z'
'y+1/2,-x+1/2,z+1/2'
'-x+1/2,y+1/2,z+1/2'
'y,x,z'
'x+1/2,-y+1/2,z+1/2'
'-y,-x,z'
loop_
_atom_site_label
_atom_site_fract_x
_atom_site_fract_y
_atom_site_fract_z
_atom_site_occupancy
Ca1 0.000 0.000 0.000 1
Sc1 0.000 0.000 0.663 1
Ag1 0.000 0.000 0.328 1
F1 0.175 0.175 0.816 1
F2 0.197 0.197 0.527 1
F3 0.226 0.226 0.149 1
# Formation energy from raw total energies, eV/atom: -3.28

***

# PBE Si4PPt, optimized geometry
data_Si4PPt
_chemical_formula_sum 'Si16 P4 Pt4'
_space_group_name_H-M_alt 'F -4 3 m'
_space_group_IT_number 216
_space_group_name_Hall 'F -4 2 3'
_cell_length_a 7.168
_cell_length_b 7.168
_cell_length_c 7.168
_cell_angle_alpha 90.00
_cell_angle_beta 90.00
_cell_angle_gamma 90.00
loop_
_atom_site_label
_atom_site_fract_x
_atom_site_fract_y
_atom_site_fract_z
_atom_site_occupancy
Si1 0.124 0.124 0.124 1
P1 0.250 0.250 0.750 1
Pt1 0.000 0.000 0.500 1
# Formation energy from raw total energies, eV/atom: 0.63

***

# PBE Pm5YEr4, optimized geometry
data_Pm5YEr4
_chemical_formula_sum 'Pm10 Y2 Er8'
_space_group_name_H-M_alt 'C 1 2/m 1'
_space_group_IT_number 12
_cell_length_a 18.134
_cell_length_b 3.578
_cell_length_c 10.456
_cell_angle_alpha 90.00
_cell_angle_beta 96.21
_cell_angle_gamma 90.00
loop_
_space_group_symop_operation_xyz
'x,y,z'
'-x,-y,-z'
'-x,y,-z'
'x,-y,z'
'x+1/2,y+1/2,z'
'-x+1/2,-y+1/2,-z'
'-x+1/2,y+1/2,-z'
'x+1/2,-y+1/2,z'
loop_
_atom_site_label
_atom_site_fract_x
_atom_site_fract_y
_atom_site_fract_z
_atom_site_occupancy
Pm1 0.000 0.000 0.000 1
Pm2 0.142 0.500 0.731 1
Pm3 0.189 0.500 0.096 1
Y1 0.000 0.000 0.500 1
Er1 0.046 0.500 0.263 1
Er2 0.183 0.000 0.414 1
# Formation enthalpy at 0 K, eV per atom: 0.151

***

# PBE Sm2PuPaP4, optimized geometry
data_Sm2PuPaP4
_chemical_formula_sum 'Sm2 Pu1 Pa1 P4'
_space_group_name_H-M_alt 'P 1 2/m 1'
_space_group_IT_number 10
_cell_length_a 6.988
_cell_length_b 4.046
_cell_length_c 7.005
_cell_angle_alpha 90.00
_cell_angle_beta 109.52
_cell_angle_gamma 90.00
loop_
_space_group_symop_operation_xyz
'x,y,z'
'-x,-y,-z'
'-x,y,-z'
'x,-y,z'
loop_
_atom_site_label
_atom_site_fract_x
_atom_site_fract_y
_atom_site_fract_z
_atom_site_occupancy
Sm1 0.000 0.000 0.000 1
Sm2 0.500 0.500 0.000 1
Pu1 0.000 0.500 0.500 1
Pa1 0.500 0.000 0.500 1
P1 0.249 0.000 0.738 1
P2 0.257 0.500 0.261 1
# Formation enthalpy at 0 K, eV per atom: -1.420

***

# PBE NbHW, optimized geometry
data_NbHW
_chemical_formula_sum 'Nb2 H2 W2'
_space_group_name_H-M_alt 'C 1 m 1'
_space_group_IT_number 8
_cell_length_a 4.683
_cell_length_b 3.307
_cell_length_c 4.781
_cell_angle_alpha 90.00
_cell_angle_beta 90.24
_cell_angle_gamma 90.00
loop_
_space_group_symop_operation_xyz
'x,y,z'
'x,-y,z'
'x+1/2,y+1/2,z'
'x+1/2,-y+1/2,z'
loop_
_atom_site_label
_atom_site_fract_x
_atom_site_fract_y
_atom_site_fract_z
_atom_site_occupancy
Nb1 0.000 0.000 0.000 1
H1 0.127 0.500 0.164 1
W1 0.494 0.000 0.525 1
# Polymorph energy (0 for the lowest one), eV/f.u.: 0.034

***

# PBE BaScZn, optimized geometry
data_BaScZn
_chemical_formula_sum 'Ba2 Sc2 Zn2'
_space_group_name_H-M_alt 'I 4 m m'
_space_group_IT_number 107
_space_group_name_Hall 'I 4 -2'
_cell_length_a 3.706
_cell_length_b 3.706
_cell_length_c 13.124
_cell_angle_alpha 90.00
_cell_angle_beta 90.00
_cell_angle_gamma 90.00
loop_
_atom_site_label
_atom_site_fract_x
_atom_site_fract_y
_atom_site_fract_z
_atom_site_occupancy
Ba1 0.000 0.000 0.000 1
Sc1 0.000 0.000 0.728 1
Zn1 0.000 0.000 0.313 1
# Polymorph energy (0 for the lowest one), eV/f.u.: 0.213
# Formation enthalpy at 0 K, eV per atom: -0.013

***

# PBE CaScOs2, optimized geometry
data_CaScOs2
_chemical_formula_sum 'Ca4 Sc4 Os8'
_space_group_name_H-M_alt 'F -4 3 m'
_space_group_IT_number 216
_space_group_name_Hall 'F -4 2 3'
_cell_length_a 6.544
_cell_length_b 6.544
_cell_length_c 6.544
_cell_angle_alpha 90.00
_cell_angle_beta 90.00
_cell_angle_gamma 90.00
loop_
_atom_site_label
_atom_site_fract_x
_atom_site_fract_y
_atom_site_fract_z
_atom_site_occupancy
Ca1 0.000 0.000 0.000 1
Sc1 0.250 0.250 0.250 1
Os1 0.000 0.000 0.500 1
Os2 0.250 0.250 0.750 1
# Polymorph energy (0 for the lowest one), eV/f.u.: 0.835
# Formation enthalpy at 0 K, eV per atom: 0.324

***

# PBE CaMnFe2, optimized geometry
data_CaMnFe2
_chemical_formula_sum 'Ca2 Mn2 Fe4'
_space_group_name_H-M_alt 'I -4 m 2'
_space_group_IT_number 119
_space_group_name_Hall 'I -4 -2'
_cell_length_a 4.334
_cell_length_b 4.334
_cell_length_c 6.842
_cell_angle_alpha 90.00
_cell_angle_beta 90.00
_cell_angle_gamma 90.00
loop_
_atom_site_label
_atom_site_fract_x
_atom_site_fract_y
_atom_site_fract_z
_atom_site_occupancy
Ca1 0.000 0.000 0.000 1
Mn1 0.000 0.500 0.750 1
Fe1 0.000 0.000 0.500 1
Fe2 0.000 0.500 0.250 1
# Polymorph energy (0 for the lowest one), eV/f.u.: 1.084
# Formation enthalpy at 0 K, eV per atom: 0.620

***

# PBE BeNi6Ir, optimized geometry
data_BeNi6Ir
_chemical_formula_sum 'Be8 Ni48 Ir8'
_space_group_name_H-M_alt 'C m m m'
_space_group_IT_number 65
_space_group_name_Hall '-C 2 2'
_cell_length_a 7.017
_cell_length_b 10.036
_cell_length_c 10.053
_cell_angle_alpha 90.00
_cell_angle_beta 90.00
_cell_angle_gamma 90.00
loop_
_atom_site_label
_atom_site_fract_x
_atom_site_fract_y
_atom_site_fract_z
_atom_site_occupancy
Be1 0.000 0.000 0.241 1
Be2 0.000 0.254 0.000 1
Ni1 0.000 0.000 0.000 1
Ni2 0.000 0.000 0.500 1
Ni3 0.000 0.248 0.242 1
Ni4 0.000 0.500 0.000 1
Ni5 0.000 0.500 0.500 1
Ni6 0.242 0.123 0.368 1
Ni7 0.243 0.127 0.120 1
Ir1 0.000 0.251 0.500 1
Ir2 0.000 0.500 0.245 1
# Formation enthalpy at 0 K, eV per atom: -0.064

***

# PBE ThCo2SiH, optimized geometry
data_ThCo2SiH
_chemical_formula_sum 'Th4 Co8 Si4 H4'
_space_group_name_H-M_alt 'C m c m'
_space_group_IT_number 63
_space_group_name_Hall '-C 2c 2'
_cell_length_a 3.863
_cell_length_b 10.587
_cell_length_c 6.505
_cell_angle_alpha 90.00
_cell_angle_beta 90.00
_cell_angle_gamma 90.00
loop_
_atom_site_label
_atom_site_fract_x
_atom_site_fract_y
_atom_site_fract_z
_atom_site_occupancy
Th1 0.000 0.078 0.250 1
Co1 0.000 0.336 0.053 1
Si1 0.000 0.207 0.750 1
H1 0.000 0.500 0.000 1
# Total energy, eV per atom: -6.66

***

# PBE CaTl3Te, optimized geometry
data_CaTl3Te
_chemical_formula_sum 'Ca1 Tl3 Te1'
_space_group_name_H-M_alt 'P m -3 m'
_space_group_IT_number 221
_space_group_name_Hall '-P 4 2 3'
_cell_length_a 6.066
_cell_length_b 6.066
_cell_length_c 6.066
_cell_angle_alpha 90.00
_cell_angle_beta 90.00
_cell_angle_gamma 90.00
loop_
_atom_site_label
_atom_site_fract_x
_atom_site_fract_y
_atom_site_fract_z
_atom_site_occupancy
Ca1 0.000 0.000 0.000 1
Tl1 0.000 0.500 0.500 1
Te1 0.500 0.500 0.500 1
# Polymorph energy (0 for the lowest one), eV/f.u.: 0.000
# Formation energy from raw total energies, eV/atom: 0.22